1.
# ThNiPd

ThNiPd after structural relaxation (PBE, Alexandria via LeMat-Bulk).

Cell lengths 5.7859, 5.7859, 6.2170 Å; angles 90.00, 90.00, 120.00 degrees
Closest atoms and distances in Å follow each position.
Fractional positions:
Ni: 0.1772 0.5528 0.7392  2 Pd 2.49-2.70, 2 Ni 2.50, 1 Th 2.77
Pd: 0.9192 0.7511 0.8954  2 Ni 2.49-2.70
Pd: 0.8319 0.0808 0.2287  2 Ni 2.49-2.70
Ni: 0.4472 0.6244 0.4059  2 Pd 2.49-2.70, 2 Ni 2.50, 1 Th 2.77
Pd: 0.2489 0.1681 0.5621  2 Ni 2.49-2.70
Th: 0.3579 0.3174 0.0320  4 Ni 2.77-2.93, 4 Pd 2.91-3.10
Th: 0.6826 0.0405 0.6987  4 Ni 2.77-2.93, 4 Pd 2.91-3.10
Ni: 0.3756 0.8228 0.0726  2 Pd 2.49-2.70, 2 Ni 2.50, 1 Th 2.77
Th: 0.9595 0.6421 0.3654  4 Ni 2.77-2.93, 4 Pd 2.91-3.10

Calculated values
Space-group type ... P3_2, No. 145
Total magnetization ... 0.00 Bohr magnetons per cell
Formation enthalpy at 0 K ... -0.51 eV per atom
E ... -6.637 eV per atom

2.
# Th2NiPd

Th2NiPd after structural relaxation (PBE, Alexandria via LeMat-Bulk).

Cell lengths 3.5654, 3.5654, 7.1236 Å; angles 90.00, 90.00, 90.00 degrees
Closest atoms and distances in Å follow each position.
Fractional positions:
Ni: 0.5000 0.5000 0.0000  8 Th 3.02
Th: 0.0000 0.0000 0.7656  4 Ni 3.02, 4 Pd 3.15, 1 Th 3.34
Th: 0.0000 0.0000 0.2344  4 Ni 3.02, 4 Pd 3.15, 1 Th 3.34
Pd: 0.5000 0.5000 0.5000  8 Th 3.15

Calculated values
Space-group type ... P4/mmm, No. 123
Total magnetization ... 0.00 Bohr magnetons per cell
Formation enthalpy at 0 K ... -0.45 eV per atom
E ... -6.905 eV per atom
ΔE to the lowest computed polymorph ... 11.2 kJ/mol of atoms

> What is the total magnetization in the first record?

0.00 Bohr magnetons per cell

> What is the formula in the first record?

ThNiPd

Please write out number 2 again, unchanged.
# Th2NiPd

Th2NiPd after structural relaxation (PBE, Alexandria via LeMat-Bulk).

Cell lengths 3.5654, 3.5654, 7.1236 Å; angles 90.00, 90.00, 90.00 degrees
Closest atoms and distances in Å follow each position.
Fractional positions:
Ni: 0.5000 0.5000 0.0000  8 Th 3.02
Th: 0.0000 0.0000 0.7656  4 Ni 3.02, 4 Pd 3.15, 1 Th 3.34
Th: 0.0000 0.0000 0.2344  4 Ni 3.02, 4 Pd 3.15, 1 Th 3.34
Pd: 0.5000 0.5000 0.5000  8 Th 3.15

Calculated values
Space-group type ... P4/mmm, No. 123
Total magnetization ... 0.00 Bohr magnetons per cell
Formation enthalpy at 0 K ... -0.45 eV per atom
E ... -6.905 eV per atom
ΔE to the lowest computed polymorph ... 11.2 kJ/mol of atoms

> total magnetization of number 2 (Th2NiPd)?

0.00 Bohr magnetons per cell